The following is a DFT calculation (GGA-PBE) of a relaxed Tb8As2C3 crystal.

Structure (POSCAR):
```
Tb8As2C3
1.0
7.107 -3.645 0.000
7.107 3.645 0.000
-1.908 0.000 6.115
Tb As C
8 2 3
Direct
0.098 0.098 0.402 Tb
0.138 0.659 0.105 Tb
0.341 0.862 0.895 Tb
0.400 0.400 0.588 Tb
0.600 0.600 0.412 Tb
0.659 0.138 0.105 Tb
0.862 0.341 0.895 Tb
0.902 0.902 0.598 Tb
0.255 0.255 0.825 As
0.745 0.745 0.175 As
0.000 0.000 0.000 C
0.254 0.746 0.500 C
0.746 0.254 0.500 C
```

Values from the calculation:
Density of states at the Fermi level: 0.747 states/eV per atom
Spin magnetization: 0.0000 μB per atom
E_form: -0.5640 eV/atom
V: 317 Å³ per cell

***

The following is a DFT calculation (GGA-PBE) of a relaxed SmScNi4 crystal.

Structure (POSCAR):
```
SmScNi4
1.0
0.000 3.546 3.546
3.546 0.000 3.546
3.546 3.546 0.000
Sm Sc Ni
1 1 4
Direct
0.000 0.000 0.000 Sm
0.750 0.750 0.750 Sc
0.376 0.376 0.376 Ni
0.376 0.376 0.872 Ni
0.376 0.872 0.376 Ni
0.872 0.376 0.376 Ni
```

Values from the calculation:
Density of states at the Fermi level: 0.615 states/eV per atom
Spin magnetization: 0.0000 μB per atom
E_form: -0.4261 eV/atom
V: 89 Å³ per cell